A geometry-optimized CsK2Pd2 structure. Source: Alexandria, functional PBE. Values from VASP.

The structure in Quantum ESPRESSO input format:
```
&SYSTEM
  ibrav = 0, nat = 10, ntyp = 3
/
ATOMIC_SPECIES
Cs 132.91 Cs.upf
K 39.10 K.upf
Pd 106.42 Pd.upf
CELL_PARAMETERS angstrom
8.702 0.000 0.000
0.000 8.702 0.000
0.000 0.000 4.824
ATOMIC_POSITIONS crystal
Cs 0.000 0.000 0.000
Cs 0.500 0.500 0.000
K 0.154 0.346 0.500
K 0.346 0.846 0.500
K 0.654 0.154 0.500
K 0.846 0.654 0.500
Pd 0.110 0.610 0.000
Pd 0.390 0.110 0.000
Pd 0.610 0.890 0.000
Pd 0.890 0.390 0.000
```

Computed properties:
The value obtained for the total energy is -0.186 Ry per atom. Its formation energy is 0.158 eV per atom. The density of states at the Fermi level is 0.5911 states/eV per atom. The spin magnetization is 0.0 μB per formula unit. The volume is 365.3 Å³/cell.

***

A geometry-optimized La2AlP structure. Source: Alexandria, functional PBE. Values from VASP.

The structure in Quantum ESPRESSO input format:
```
&SYSTEM
  ibrav = 0, nat = 4, ntyp = 3
/
ATOMIC_SPECIES
La 138.91 La.upf
Al 26.98 Al.upf
P 30.97 P.upf
CELL_PARAMETERS angstrom
3.782 0.000 0.000
0.000 3.774 0.000
-0.008 0.000 7.137
ATOMIC_POSITIONS crystal
La 0.001 0.000 0.274
La 0.999 0.000 0.726
Al 0.500 0.500 0.000
P 0.500 0.500 0.500
```

Computed properties:
The value obtained for the total energy is -0.405 Ry per atom. Its formation energy is -0.762 eV per atom. For the offset from the most stable computed form, the calculation gives 70 meV per atom. The density of states at the Fermi level is 0.4014 states/eV per atom. The spin magnetization is 0.0 μB per formula unit. The volume is 101.9 Å³/cell.

***

Q: Look up the volume of the first one.
A: 365.3 Å³/cell